Below is crystalline Pu2MnAl2Ru5 at its relaxed geometry, with properties calculated at the GGA-PBE level.

Cell lengths 10.157, 10.157, 3.170 Å; angles 90.00, 90.00, 90.00 degrees
Space group P4/mbm (No. 127)
Asymmetric unit:
Pu: 0.172 0.328 0.000 [4 per cell]
Mn: 0.000 0.000 0.000 [2 per cell]
Al: 0.131 0.631 0.000 [4 per cell]
Ru: 0.000 0.500 0.500 [2 per cell]
Ru: 0.043 0.802 0.500 [8 per cell]

## Properties
Formation energy   -0.128 eV/atom

Below is crystalline NaAgPd at its relaxed geometry, with properties calculated at the GGA-PBE level.

Cell lengths 4.7307, 4.7307, 2.8104 Å; angles 90.00, 90.00, 120.00 degrees
Space group P3m1 (No. 156)
Asymmetric unit:
Na: 0.0000 0.0000 0.0000 [1 per cell]
Ag: 0.6667 0.3333 0.3227 [1 per cell]
Pd: 0.3333 0.6667 0.6757 [1 per cell]

## Properties
Formation energy   -0.038 eV/atom
Offset from the most stable computed form   0.109 eV per atom

Below is crystalline OsAu2Br at its relaxed geometry, with properties calculated at the GGA-PBE level.

Cell lengths 6.665, 6.665, 6.665 Å; angles 90.00, 90.00, 90.00 degrees
Space group F-43m (No. 216)
Asymmetric unit:
Os: 0.000 0.000 0.000 [4 per cell]
Au: 0.000 0.000 0.500 [4 per cell]
Au: 0.250 0.250 0.250 [4 per cell]
Br: 0.250 0.250 0.750 [4 per cell]

## Properties
Raw formation energy   110.9 kJ/mol of atoms
Offset from the most stable computed form   0.525 eV per atom

Below is crystalline Sm8Er2Hg at its relaxed geometry, with properties calculated at the GGA-PBE level.

Cell lengths 5.576, 7.471, 17.511 Å; angles 90.00, 90.00, 90.00 degrees
Space group Immm (No. 71)
Asymmetric unit:
Sm: 0.000 0.000 0.185 [4 per cell]
Sm: 0.000 0.235 0.364 [8 per cell]
Sm: 0.000 0.255 0.000 [4 per cell]
Er: 0.000 0.500 0.191 [4 per cell]
Hg: 0.000 0.500 0.500 [2 per cell]

## Properties
Formation energy   0.011 eV/atom

no.,volume (Å³/cell),uncorrected energy (eV per atom)
1,327.0,-9.297
2,54.5,-3.159
3,296.0,-3.715
4,729.4,-4.278